Below is a relaxed structure of Er2ThMg, with properties calculated at the PBE level.

Values from the calculation:
* E above lowest polymorph: 100 meV/atom
* DOS at the Fermi energy: 7.02 states/eV/cell
* crystal system: tetragonal
* final energy: -17.894 eV for the cell shown

Cell and atoms, written as POSCAR:
```
Er2ThMg
1.0
-3.715 3.120 0.939
0.106 -1.290 4.705
3.216 3.557 0.903
Mg Th Er
1 1 2
Direct
0.500 0.000 0.000 Mg
0.500 0.500 0.500 Th
0.000 0.000 0.500 Er
0.000 0.500 0.000 Er
```

---

Below is a relaxed structure of Er2Th2Mg, with properties calculated at the PBE level.

Values from the calculation:
* E above lowest polymorph: 0 meV/atom
* DOS at the Fermi energy: 8.27 states/eV/cell
* crystal system: tetragonal
* final energy: -25.667 eV for the cell shown

Cell and atoms, written as POSCAR:
```
Er2Th2Mg
1.0
-2.983 1.052 1.720
-0.100 -3.145 1.750
7.966 5.519 6.672
Er Th Mg
2 2 1
Direct
0.591 0.591 0.183 Er
0.409 0.409 0.817 Er
0.803 0.803 0.606 Th
0.197 0.197 0.394 Th
0.000 0.000 0.000 Mg
```

---

Below is a relaxed structure of Er2ThMg, with properties calculated at the PBE level.

Values from the calculation:
* E above lowest polymorph: 66 meV/atom
* DOS at the Fermi energy: 5.57 states/eV/cell
* crystal system: monoclinic
* final energy: -18.028 eV for the cell shown

Cell and atoms, written as POSCAR:
```
Er2ThMg
1.0
3.519 0.001 0.008
1.761 3.047 0.008
1.787 1.032 11.137
Er Th Mg
2 1 1
Direct
0.086 0.086 0.750 Er
0.247 0.247 0.251 Er
0.667 0.667 0.000 Th
0.500 0.500 0.499 Mg
```

---

Below is a relaxed structure of Er2ThMg, with properties calculated at the PBE level.

Values from the calculation:
* E above lowest polymorph: 216 meV/atom
* DOS at the Fermi energy: 6.17 states/eV/cell
* crystal system: cubic
* final energy: -17.426 eV for the cell shown

Cell and atoms, written as POSCAR:
```
Er2ThMg
1.0
5.515 0.000 0.000
2.757 4.776 0.000
2.757 1.592 4.503
Mg Th Er
1 1 2
Direct
0.500 0.500 0.500 Mg
0.000 0.000 0.000 Th
0.250 0.250 0.250 Er
0.750 0.750 0.750 Er
```

---

Below is a relaxed structure of Er2ThMg6, with properties calculated at the PBE level.

Values from the calculation:
* DOS at the Fermi energy: 7.42 states/eV/cell
* crystal system: hexagonal
* final energy: -26.365 eV for the cell shown

Cell and atoms, written as POSCAR:
```
Er2ThMg6
1.0
4.528 -7.842 0.000
4.528 7.842 0.000
0.000 0.000 3.309
Er Th Mg
2 1 6
Direct
0.333 0.667 0.000 Er
0.667 0.333 0.000 Er
0.000 0.000 0.000 Th
0.664 0.000 0.500 Mg
0.000 0.664 0.500 Mg
0.336 0.000 0.500 Mg
0.664 0.664 0.500 Mg
0.000 0.336 0.500 Mg
0.336 0.336 0.500 Mg
```

---

Below is a relaxed structure of Er2Th3Mg2, with properties calculated at the PBE level.

Values from the calculation:
* DOS at the Fermi energy: 8.36 states/eV/cell
* crystal system: orthorhombic
* final energy: -33.803 eV for the cell shown

Cell and atoms, written as POSCAR:
```
Er2Th3Mg2
1.0
-0.438 -3.243 -1.335
-1.110 -1.144 3.142
-15.725 5.509 -3.548
Er Th Mg
2 3 2
Direct
0.293 0.500 0.587 Er
0.707 0.500 0.413 Er
0.425 0.500 0.850 Th
0.575 0.500 0.150 Th
0.000 0.000 0.000 Th
0.144 0.000 0.287 Mg
0.856 0.000 0.713 Mg
```

---

Below is a relaxed structure of Er2ThMg3, with properties calculated at the PBE level.

Values from the calculation:
* DOS at the Fermi energy: 7.73 states/eV/cell
* crystal system: tetragonal
* final energy: -21.405 eV for the cell shown

Cell and atoms, written as POSCAR:
```
Er2ThMg3
1.0
-0.176 -3.762 -0.079
2.639 -0.180 2.682
-8.183 0.214 8.065
Er Th Mg
2 1 3
Direct
0.500 0.500 0.835 Er
0.500 0.500 0.165 Er
0.500 0.500 0.500 Th
0.000 0.000 0.000 Mg
0.000 0.000 0.677 Mg
0.000 0.000 0.323 Mg
```

---

Below is a relaxed structure of Er5ThMg6, with properties calculated at the PBE level.

Values from the calculation:
* DOS at the Fermi energy: 12.58 states/eV/cell
* crystal system: monoclinic
* final energy: -40.322 eV for the cell shown

Cell and atoms, written as POSCAR:
```
Er5ThMg6
1.0
-2.880 1.450 4.245
5.271 -2.922 4.574
2.335 7.776 2.276
Mg Th Er
6 1 5
Direct
0.829 0.746 0.339 Mg
0.829 0.254 0.339 Mg
0.500 0.255 0.000 Mg
0.500 0.745 0.000 Mg
0.171 0.746 0.661 Mg
0.171 0.254 0.661 Mg
0.000 0.000 0.000 Th
0.666 0.500 0.670 Er
0.333 0.000 0.331 Er
0.000 0.500 0.000 Er
0.667 0.000 0.669 Er
0.334 0.500 0.330 Er
```

---

Below is a relaxed structure of ErThMg17, with properties calculated at the PBE level.

Values from the calculation:
* DOS at the Fermi energy: 8.75 states/eV/cell
* crystal system: trigonal
* final energy: -38.956 eV for the cell shown

Cell and atoms, written as POSCAR:
```
ErThMg17
1.0
-4.454 -2.016 6.034
-3.879 -5.788 -3.430
4.346 -5.884 2.609
Er Th Mg
1 1 17
Direct
0.329 0.329 0.329 Er
0.670 0.670 0.670 Th
0.304 0.001 0.695 Mg
0.695 0.304 0.001 Mg
0.001 0.695 0.304 Mg
0.304 0.695 0.001 Mg
0.001 0.304 0.695 Mg
0.695 0.001 0.304 Mg
0.352 0.845 0.352 Mg
0.352 0.352 0.845 Mg
0.845 0.352 0.352 Mg
0.645 0.167 0.645 Mg
0.645 0.645 0.167 Mg
0.167 0.645 0.645 Mg
0.995 0.504 0.995 Mg
0.995 0.995 0.504 Mg
0.504 0.995 0.995 Mg
0.902 0.902 0.902 Mg
0.100 0.100 0.100 Mg
```

---

Below is a relaxed structure of Er2Th2Mg, with properties calculated at the PBE level.

Values from the calculation:
* E above lowest polymorph: 562 meV/atom
* DOS at the Fermi energy: 5.14 states/eV/cell
* crystal system: tetragonal
* final energy: -22.859 eV for the cell shown

Cell and atoms, written as POSCAR:
```
Er2Th2Mg
1.0
4.566 0.000 0.000
0.000 4.566 0.000
-2.283 -2.283 8.141
Er Th Mg
2 2 1
Direct
0.404 0.404 0.808 Er
0.596 0.596 0.192 Er
0.750 0.250 0.500 Th
0.250 0.750 0.500 Th
0.000 0.000 0.000 Mg
```

---

> Which formula does entry 6 have?

Er2Th3Mg2